Record 1
First-principles (GGA-PBE) data for LaZnCuGe2 after structural relaxation, as listed in Alexandria via LeMat-Bulk.

a = 4.266 Å, b = 4.266 Å, c = 6.086 Å
α = 110.51°, β = 110.51°, γ = 90.00°
Sites, in units of the cell vectors:
La 0.000 0.000 0.000
Zn 0.250 0.750 0.500
Cu 0.750 0.250 0.500
Ge 0.621 0.621 0.241
Ge 0.379 0.379 0.759

Its total moment is 0.00 μB per formula unit. Its formation energy from the elements is -0.5111 eV per atom.



Record 2
First-principles (GGA-PBE) data for Li2Pa3S8 after structural relaxation, as listed in Alexandria via LeMat-Bulk.

a = 6.949 Å, b = 7.383 Å, c = 7.383 Å
α = 65.86°, β = 82.12°, γ = 82.12°
Each line ends with the local moment (μB).
Sites, in units of the cell vectors:
Li 0.922 0.706 0.706  0.00
Li 0.078 0.294 0.294  0.00
Pa 0.000 0.000 0.000  0.35
Pa 0.500 0.744 0.256  0.43
Pa 0.500 0.256 0.744  0.43
S 0.636 0.112 0.112  -0.02
S 0.364 0.888 0.888  -0.02
S 0.384 0.385 0.385  -0.01
S 0.616 0.615 0.615  -0.01
S 0.856 0.109 0.651  -0.01
S 0.856 0.651 0.109  -0.01
S 0.144 0.349 0.891  -0.01
S 0.144 0.891 0.349  -0.01

Its formation energy from raw total energies is -1.483 eV per atom. Its total moment is 1.18 μB per formula unit.



Record 3
First-principles (GGA-PBE) data for Sr2CaInNi after structural relaxation, as listed in Alexandria via LeMat-Bulk.

a = 5.692 Å, b = 5.692 Å, c = 5.427 Å
α = 90.00°, β = 90.00°, γ = 90.00°
Sites, in units of the cell vectors:
Sr 0.000 0.500 0.000
Sr 0.500 0.000 0.000
Ca 0.000 0.000 0.500
Ni 0.000 0.000 0.000
In 0.500 0.500 0.500

The energy above the most stable polymorph in this dataset is 12.3 meV per atom. Its total moment is 0.00 μB per formula unit. Its formation energy from the elements is -0.0807 eV per atom.



Record 4
First-principles (GGA-PBE) data for NaThHgPd after structural relaxation, as listed in Alexandria via LeMat-Bulk.

a = 5.124 Å, b = 5.124 Å, c = 5.124 Å
α = 60.00°, β = 60.00°, γ = 60.00°
Sites, in units of the cell vectors:
Na 0.250 0.250 0.250
Pd 0.500 0.500 0.500
Hg 0.000 0.000 0.000
Th 0.750 0.750 0.750

Its total moment is 0.00 μB per formula unit. Its formation energy from the elements is -0.2763 eV per atom.



Record 5
First-principles (GGA-PBE) data for Tl2In4Ga after structural relaxation, as listed in Alexandria via LeMat-Bulk.

a = 3.168 Å, b = 8.634 Å, c = 8.634 Å
α = 92.45°, β = 90.00°, γ = 90.00°
Sites, in units of the cell vectors:
Tl 0.500 0.000 0.500
Tl 0.500 0.500 0.000
In 0.500 0.789 0.789
In 0.000 0.225 0.775
In 0.500 0.211 0.211
In 0.000 0.775 0.225
Ga 0.000 0.000 0.000

The energy above the most stable polymorph in this dataset is 118.2 meV per atom. Its total moment is 0.00 μB per formula unit. Its formation energy from the elements is 0.1549 eV per atom.



Record 6
First-principles (GGA-PBE) data for Li2Tb2NdGa2 after structural relaxation, as listed in Alexandria via LeMat-Bulk.

a = 4.665 Å, b = 4.665 Å, c = 9.218 Å
α = 75.34°, β = 75.34°, γ = 60.00°
Sites, in units of the cell vectors:
Li 0.598 0.598 0.205
Li 0.402 0.402 0.795
Tb 0.127 0.127 0.618
Tb 0.873 0.873 0.382
Nd 0.000 0.000 0.000
Ga 0.741 0.741 0.776
Ga 0.259 0.259 0.224

Its total moment is 0.00 μB per formula unit. Its formation energy from the elements is -0.2843 eV per atom.



Q: The highest total moment belongs to which entry?
A: Li2Pa3S8



Q: Look up the total moment of the sixth one.
A: 0.00 μB per formula unit